{
  "formula": "Sr2NdAgSe4",
  "functional": "GGA-PBE",
  "state": "optimized geometry",
  "lattice_angstrom": [[7.488, 0.000, 0.000], [0.000, 4.350, 0.000], [-2.584, 0.000, 7.033]],
  "species": ["Sr", "Sr", "Nd", "Ag", "Se", "Se", "Se", "Se"],
  "fractional_positions": [[0.000, 0.000, 0.000], [0.000, 0.500, 0.500], [0.500, 0.000, 0.500], [0.500, 0.500, 0.000], [0.260, 0.500, 0.261], [0.269, 0.000, 0.754], [0.731, 0.000, 0.246], [0.740, 0.500, 0.739]],
  "formation_energy_uncorrected_ev_per_atom": -1.576,
  "sg": "No. 10"
}

=====

{
  "formula": "Mn2FeAuC",
  "functional": "GGA-PBE",
  "state": "optimized geometry",
  "lattice_angstrom": [[3.990, 0.000, 0.000], [0.000, 3.990, 0.000], [0.000, 0.000, 3.815]],
  "species": ["Mn", "Mn", "Fe", "Au", "C"],
  "fractional_positions": [[0.000, 0.500, 0.000], [0.500, 0.000, 0.000], [0.000, 0.000, 0.500], [0.500, 0.500, 0.500], [0.000, 0.000, 0.000]],
  "sg": "No. 123",
  "e_form_ev_per_atom": 0.04
}

=====

{
  "formula": "MgTlOs2",
  "functional": "GGA-PBE",
  "state": "optimized geometry",
  "lattice_angstrom": [[-1.990, 1.990, 4.265], [1.990, -1.990, 4.265], [1.990, 1.990, -4.265]],
  "species": ["Mg", "Tl", "Os", "Os"],
  "fractional_positions": [[0.000, 0.000, 0.000], [0.500, 0.500, 0.000], [0.250, 0.750, 0.500], [0.750, 0.250, 0.500]],
  "sg": "No. 139",
  "e_form_ev_per_atom": 0.79
}